Material: BaOs
Method: DFT, GGA-PBE
State: relaxed

## Properties
- SG = Cmme
- final energy (eV per atom) = -5.9134

Cell and atoms, written as POSCAR:
```
BaOs
1.0
3.524 0.014 0.000
-0.369 3.505 0.000
0.000 0.000 9.856
Ba Os
2 2
direct
0.000 0.000 0.087
0.500 0.500 0.663
0.500 0.500 0.337
0.000 0.000 0.413
```

---

Material: BaOs
Method: DFT, GGA-PBE
State: relaxed

## Properties
- SG = I-43m
- final energy (eV per atom) = -5.2548

Cell and atoms, written as POSCAR:
```
BaOs
1.0
-1.664 7.460 -5.624
0.800 -5.578 -7.635
-9.308 -1.813 0.349
Ba Os
8 8
direct
0.214 0.214 0.214
0.214 0.786 0.786
0.286 0.286 0.714
0.786 0.786 0.214
0.286 0.714 0.286
0.786 0.214 0.786
0.714 0.714 0.714
0.714 0.286 0.286
0.905 0.095 0.095
0.405 0.595 0.595
0.095 0.095 0.905
0.405 0.405 0.405
0.595 0.405 0.595
0.595 0.595 0.405
0.095 0.905 0.095
0.905 0.905 0.905
```

---

Material: BaOs3
Method: DFT, GGA-PBE
State: relaxed

## Properties
- SG = Cmcm
- final energy (eV per atom) = -7.7043
- polymorph energy (0 for the lowest one) (kJ/mol of atoms) = 73.6

Cell and atoms, written as POSCAR:
```
BaOs3
1.0
3.817 -4.793 0.000
3.817 4.793 0.000
0.000 0.000 4.554
Os Ba
6 2
direct
0.040 0.639 0.750
0.054 0.946 0.250
0.361 0.960 0.750
0.960 0.361 0.250
0.946 0.054 0.750
0.639 0.040 0.250
0.601 0.399 0.750
0.399 0.601 0.250
```

---

Material: BaOs
Method: DFT, GGA-PBE
State: relaxed

## Properties
- SG = P4/mmm
- final energy (eV per atom) = -5.1164

Cell and atoms, written as POSCAR:
```
BaOs
1.0
-0.824 -1.957 -2.499
3.089 -1.087 -0.168
-1.064 -3.502 3.093
Ba Os
1 1
direct
0.000 0.000 0.000
0.500 0.500 0.500
```

---

Material: BaOs3
Method: DFT, GGA-PBE
State: relaxed

## Properties
- SG = Pm-3m
- final energy (eV per atom) = -7.0325
- polymorph energy (0 for the lowest one) (kJ/mol of atoms) = 138.4

Cell and atoms, written as POSCAR:
```
BaOs3
1.0
4.220 0.000 0.000
0.000 4.220 0.000
0.000 0.000 4.220
Os Ba
3 1
direct
0.500 0.500 0.000
0.000 0.500 0.500
0.500 0.000 0.500
0.000 0.000 0.000
```

---

Material: BaOs
Method: DFT, GGA-PBE
State: relaxed

## Properties
- SG = I4/m
- final energy (eV per atom) = -6.0229

Cell and atoms, written as POSCAR:
```
BaOs
1.0
-5.442 9.976 4.095
-9.643 -2.449 -6.850
-1.701 -2.239 3.195
Os Ba
8 8
direct
0.236 0.210 0.000
0.764 0.790 0.000
0.790 0.236 0.000
0.710 0.264 0.500
0.210 0.764 0.000
0.264 0.290 0.500
0.290 0.736 0.500
0.736 0.710 0.500
0.254 0.999 0.500
0.499 0.246 0.000
0.246 0.501 0.000
0.999 0.746 0.500
0.501 0.754 0.000
0.754 0.499 0.000
0.746 0.001 0.500
0.001 0.254 0.500
```

---

Material: BaOs
Method: DFT, GGA-PBE
State: relaxed

## Properties
- SG = F-43m
- final energy (eV per atom) = -4.3323

Cell and atoms, written as POSCAR:
```
BaOs
1.0
-2.404 -1.781 -4.011
-2.909 -4.050 0.421
-4.973 0.445 -0.338
Os Ba
1 1
direct
0.750 0.750 0.750
0.000 0.000 0.000
```

---

Material: BaOs
Method: DFT, GGA-PBE
State: relaxed

## Properties
- SG = Imma
- final energy (eV per atom) = -6.0641

Cell and atoms, written as POSCAR:
```
BaOs
1.0
-4.791 -1.820 -4.802
-5.756 -4.014 -0.305
-3.295 2.513 0.519
Os Ba
2 2
direct
0.414 0.248 0.169
0.503 0.336 0.581
0.093 0.926 0.991
0.824 0.658 0.759
```

---

Material: BaOs5
Method: DFT, GGA-PBE
State: relaxed

## Properties
- SG = P4/mmm
- final energy (eV per atom) = -9.0205
- polymorph energy (0 for the lowest one) (kJ/mol of atoms) = 4.2

Cell and atoms, written as POSCAR:
```
BaOs5
1.0
-1.066 1.243 2.324
-2.521 -1.213 -0.508
3.469 -10.149 7.019
Os Ba
5 1
direct
0.000 0.000 0.500
0.000 0.000 0.782
0.500 0.500 0.649
0.500 0.500 0.351
0.000 0.000 0.218
0.500 0.500 0.000
```

---

Material: BaOs3
Method: DFT, GGA-PBE
State: relaxed

## Properties
- SG = P2/m
- final energy (eV per atom) = -8.0812
- polymorph energy (0 for the lowest one) (kJ/mol of atoms) = 37.3

Cell and atoms, written as POSCAR:
```
BaOs3
1.0
3.721 0.000 0.000
0.000 2.847 -0.010
0.000 2.833 7.639
Ba Os
1 3
direct
0.000 0.000 0.000
0.000 0.500 0.500
0.500 0.836 0.668
0.500 0.164 0.332
```

---

Material: BaOs
Method: DFT, GGA-PBE
State: relaxed

## Properties
- SG = Fddd
- final energy (eV per atom) = -5.7298

Cell and atoms, written as POSCAR:
```
BaOs
1.0
-3.153 -5.023 -1.646
9.750 -2.362 -11.466
5.399 -5.247 5.672
Os Ba
16 16
direct
0.750 0.826 0.750
0.750 0.326 0.250
0.250 0.326 0.750
0.500 0.576 0.000
0.250 0.174 0.750
0.250 0.826 0.250
0.000 0.924 0.000
0.000 0.424 0.500
0.250 0.674 0.250
0.500 0.424 0.000
0.750 0.674 0.750
0.750 0.174 0.250
0.500 0.924 0.500
0.000 0.076 0.000
0.500 0.076 0.500
0.000 0.576 0.500
0.000 0.000 0.671
0.500 0.000 0.829
0.000 0.500 0.829
0.250 0.250 0.421
0.250 0.750 0.579
0.500 0.000 0.171
0.250 0.750 0.921
0.500 0.500 0.329
0.750 0.250 0.579
0.250 0.250 0.079
0.750 0.250 0.921
0.000 0.000 0.329
0.000 0.500 0.171
0.500 0.500 0.671
0.750 0.750 0.079
0.750 0.750 0.421
```

---

Material: BaOs5
Method: DFT, GGA-PBE
State: relaxed

## Properties
- SG = P6/mmm
- final energy (eV per atom) = -8.9202
- polymorph energy (0 for the lowest one) (kJ/mol of atoms) = 13.9

Cell and atoms, written as POSCAR:
```
BaOs5
1.0
-5.186 0.785 -1.387
1.213 -2.716 4.537
-0.036 3.743 2.251
Ba Os
1 5
direct
0.000 0.000 0.000
0.500 0.500 0.500
0.667 0.333 0.000
0.500 0.000 0.500
0.000 0.500 0.500
0.333 0.667 0.000
```

---

Across the entries above, magnetization takes the values 0.00 2.13 0.00 1.20 0.00 0.00 2.00 0.00 0.00 0.00 0.00 0.00 μB per formula unit, respectively.
Across the entries above, calculated formation energy takes the values 0.663 1.321 1.199 1.460 1.871 0.553 2.244 0.512 0.658 0.822 0.846 0.758 eV per atom, respectively.